# PBE-GGA PPbAu2, relaxed
# Energy relative to the elements, eV/f.u.: 0.6
# Density of states at the Fermi level, states/eV/f.u.: 1.88
data_PPbAu2
_cell_length_a 4.035
_cell_length_b 4.177
_cell_length_c 5.529
_cell_angle_alpha 90.00
_cell_angle_beta 90.13
_cell_angle_gamma 90.00
_symmetry_space_group_name_H-M 'P 1 2/m 1'
_symmetry_Int_Tables_number 10
_symmetry_space_group_name_Hall '-P 2y'
loop_
_atom_site_label
_atom_site_type_symbol
_atom_site_fract_x
_atom_site_fract_y
_atom_site_fract_z
P1 P 0.000 0.000 0.000
Pb1 Pb 0.500 0.000 0.500
Au1 Au 0.000 0.500 0.253